Computed, not measured: a geometry-optimized TbIn5Ag structure at the PBE-GGA level of DFT.

Results
E_tot = -3.2403 eV per atom
Total magnetization = 0.00 μB per cell

Lattice parameters (Å, degrees): 4.822 4.822 7.585 90.00 90.00 90.00
Space group P4/mmm (No. 123)
Unique sites:
Tb 0.000 0.000 0.000 [1 per cell]
In 0.000 0.500 0.289 [4 per cell]
In 0.500 0.500 0.000 [1 per cell]
Ag 0.000 0.000 0.500 [1 per cell]